(1)
Below is an optimized crystal structure of TbSm2Dy, with properties calculated at the PBE level.

a b c (Å): 3.5892 3.5892 11.8730
angles (deg): 81.31 81.31 60.00
Last column: nearest neighbours and their distance in Å.
Positions (direct):
Dy (0.0000, 0.0000, 0.0000)  6 Sm 3.58, 6 Dy 3.59
Sm (0.2502, 0.2502, 0.2495)  3 Dy 3.58, 3 Tb 3.59, 6 Sm 3.59
Sm (0.7498, 0.7498, 0.7505)  3 Dy 3.58, 3 Tb 3.59, 6 Sm 3.59
Tb (0.5000, 0.5000, 0.5000)  6 Sm 3.59, 6 Tb 3.59

**Spin magnetization**: 0.000 μB per formula unit
**Offset from the most stable computed form**: 0.01 eV/f.u.
**Fermi-level density of states**: 4.96 states/eV per cell


(2)
Below is an optimized crystal structure of Tb5SmDy7, with properties calculated at the PBE level.

a b c (Å): 6.6752 8.6875 8.6875
angles (deg): 79.58 67.41 67.41
Last column: nearest neighbours and their distance in Å.
Positions (direct):
Dy (0.9816, 0.6881, 0.3487)  4 Dy 3.44-3.79, 5 Tb 3.44-3.47, 1 Sm 3.72
Dy (0.4806, 0.1890, 0.8498)  5 Dy 3.46-3.79, 5 Tb 3.46-3.47
Dy (0.4806, 0.8498, 0.1890)  5 Dy 3.46-3.79, 5 Tb 3.46-3.47
Dy (0.9816, 0.3487, 0.6881)  4 Dy 3.44-3.79, 5 Tb 3.44-3.47, 1 Sm 3.72
Dy (0.4241, 0.5759, 0.5759)  7 Dy 3.52-3.89, 4 Tb 3.72
Dy (0.2301, 0.2699, 0.2699)  6 Dy 3.34-3.46, 4 Tb 3.39
Dy (0.7289, 0.2711, 0.2711)  3 Dy 3.34-3.52, 4 Tb 3.51, 1 Sm 3.52
Sm (0.0333, 0.9667, 0.9667)  7 Dy 3.52-3.88, 4 Tb 3.76
Tb (0.4643, 0.5396, 0.9971)  2 Tb 3.11, 5 Dy 3.39-3.47
Tb (0.7324, 0.7676, 0.7676)  4 Tb 3.11, 4 Dy 3.44-3.47
Tb (0.9990, 0.9971, 0.5396)  2 Tb 3.11, 5 Dy 3.39-3.47
Tb (0.4643, 0.9971, 0.5396)  2 Tb 3.11, 5 Dy 3.39-3.47
Tb (0.9990, 0.5396, 0.9971)  2 Tb 3.11, 5 Dy 3.39-3.47

**Spin magnetization**: 0.002 μB per formula unit
**Final energy**: -4.371 eV per atom
**Fermi-level density of states**: 23.31 states/eV per cell


(3)
Below is an optimized crystal structure of Tb12Sm6Dy, with properties calculated at the PBE level.

a b c (Å): 8.8762 8.8762 8.8762
angles (deg): 99.27 99.27 99.27
Last column: nearest neighbours and their distance in Å.
Positions (direct):
Sm (0.2065, 0.2065, 0.7490)  4 Tb 2.96-3.23
Sm (0.7935, 0.7935, 0.2510)  4 Tb 2.96-3.23
Sm (0.7490, 0.2065, 0.2065)  4 Tb 2.96-3.23
Sm (0.2065, 0.7490, 0.2065)  4 Tb 2.96-3.23
Sm (0.2510, 0.7935, 0.7935)  4 Tb 2.96-3.23
Sm (0.7935, 0.2510, 0.7935)  4 Tb 2.96-3.23
Tb (0.1823, 0.4677, 0.4677)  7 Tb 3.49-3.86, 3 Sm 3.64-3.68
Tb (0.4677, 0.4677, 0.1823)  7 Tb 3.49-3.86, 3 Sm 3.64-3.68
Tb (0.8825, 0.5000, 0.1175)  4 Sm 2.96-3.23, 1 Tb 3.18
Tb (0.8177, 0.5323, 0.5323)  7 Tb 3.49-3.86, 3 Sm 3.64-3.68
Tb (0.8825, 0.1175, 0.5000)  4 Sm 2.96-3.23, 1 Tb 3.18
Tb (0.5323, 0.8177, 0.5323)  7 Tb 3.49-3.86, 3 Sm 3.64-3.68
Tb (0.1175, 0.5000, 0.8825)  4 Sm 2.96-3.23, 1 Tb 3.18
Tb (0.5323, 0.5323, 0.8177)  7 Tb 3.49-3.86, 3 Sm 3.64-3.68
Tb (0.5000, 0.8825, 0.1175)  4 Sm 2.96-3.23, 1 Tb 3.18
Tb (0.5000, 0.1175, 0.8825)  4 Sm 2.96-3.23, 1 Tb 3.18
Tb (0.4677, 0.1823, 0.4677)  7 Tb 3.49-3.86, 3 Sm 3.64-3.68
Tb (0.1175, 0.8825, 0.5000)  4 Sm 2.96-3.23, 1 Tb 3.18
Dy (0.0000, 0.0000, 0.0000)  6 Sm 3.64

**Spin magnetization**: 0.000 μB per formula unit
**Offset from the most stable computed form**: 4.58 eV/f.u.
**Fermi-level density of states**: 25.44 states/eV per cell


Number 1: volume 130.4 Å³/f.u.. Number 2: volume 429.1 Å³/f.u.. Number 3: volume 668.5 Å³/f.u..